Entry a
Entry from Alexandria via LeMat-Bulk: an optimized crystal structure of CeEuP (GGA-PBE).

POSCAR file:
```
CeEuP
1.0
3.643 0.000 0.000
0.000 3.643 0.000
0.000 0.000 12.878
Ce Eu P
2 2 2
Direct
0.000 0.000 0.000
0.500 0.500 0.500
0.000 0.000 0.755
0.500 0.500 0.255
0.000 0.000 0.395
0.500 0.500 0.895
```

**Symmetry**: I4mm, No. 107


Entry b
Entry from Alexandria via LeMat-Bulk: an optimized crystal structure of CeEuP (GGA-PBE).

POSCAR file:
```
CeEuP
1.0
4.103 0.000 0.000
-2.051 3.553 0.000
0.000 0.000 6.499
Ce Eu P
1 1 1
Direct
0.000 0.000 0.000
0.667 0.333 0.504
0.333 0.667 0.236
```

**Symmetry**: P3m1, No. 156


Stability summary: most stable entry b, least stable entry a.


Entry a
Entry from Alexandria via LeMat-Bulk: an optimized crystal structure of CeEuPb (GGA-PBE).

POSCAR file:
```
CeEuPb
1.0
4.280 0.000 0.000
0.000 4.280 0.000
0.000 0.000 10.230
Ce Eu Pb
2 2 2
Direct
0.000 0.000 0.000
0.500 0.500 0.500
0.000 0.000 0.695
0.500 0.500 0.195
0.000 0.000 0.351
0.500 0.500 0.851
```

**Symmetry**: I4mm, No. 107


Entry b
Entry from Alexandria via LeMat-Bulk: an optimized crystal structure of CeEuPb (GGA-PBE).

POSCAR file:
```
CeEuPb
1.0
5.422 0.000 0.000
-2.711 4.696 0.000
0.000 0.000 3.461
Ce Eu Pb
1 1 1
Direct
0.000 0.000 0.000
0.667 0.333 0.000
0.333 0.667 0.500
```

**Symmetry**: P-6m2, No. 187


Stability summary: most stable entry a, least stable entry b.


Entry a
Entry from Alexandria via LeMat-Bulk: an optimized crystal structure of CeEuPb2 (GGA-PBE).

POSCAR file:
```
CeEuPb2
1.0
5.177 0.000 0.000
0.000 5.177 0.000
0.000 0.000 4.578
Ce Eu Pb
1 1 2
Direct
0.000 0.000 0.000
0.500 0.500 0.000
0.000 0.500 0.500
0.500 0.000 0.500
```

**Symmetry**: P4/mmm, No. 123


Entry b
Entry from Alexandria via LeMat-Bulk: an optimized crystal structure of CeEuPb2 (GGA-PBE).

POSCAR file:
```
CeEuPb2
1.0
7.945 0.000 0.000
0.000 7.945 0.000
0.000 0.000 7.945
Ce Eu Pb
4 4 8
Direct
0.000 0.000 0.000
0.000 0.500 0.500
0.500 0.000 0.500
0.500 0.500 0.000
0.000 0.000 0.500
0.000 0.500 0.000
0.500 0.000 0.000
0.500 0.500 0.500
0.250 0.250 0.250
0.250 0.250 0.750
0.250 0.750 0.250
0.250 0.750 0.750
0.750 0.250 0.250
0.750 0.250 0.750
0.750 0.750 0.250
0.750 0.750 0.750
```

**Symmetry**: Fm-3m, No. 225


Stability summary: most stable entry a, least stable entry b.